VASP calculation (PBE) on a geometry-optimized YAuCl6 structure.

## Properties
Density in Mg/m³: 3.34
Calculated volume in Å³ per cell: 248.1
Formation energy (no corrections) in eV/atom: -1.17
Space group: P-1, No. 2

a = 5.713 Å, b = 6.967 Å, c = 7.336 Å
α = 64.93°, β = 70.79°, γ = 87.73°
Sites, in units of the cell vectors:
Y1 0.000 0.000 0.000
Au1 0.500 0.500 0.000
Cl1 0.006 0.801 0.376
Cl2 0.299 0.380 0.827
Cl3 0.411 0.843 0.808
Cl4 0.589 0.157 0.192
Cl5 0.701 0.620 0.173
Cl6 0.994 0.199 0.624